[1]
This record from Alexandria describes an optimized crystal structure of MnTlRe2. The functional is PBE.

Cell and atoms, written as extended XYZ:
```
4
Lattice="-2.2993 -0.5014 -2.3194 -0.7290 -3.9852 1.5842 -3.1627 1.6805 2.7719" Properties=species:S:1:pos:R:3 pbc="T T T"
Re -1.5141 -2.2433 -0.3676
Tl -2.7310 0.5895 0.2263
Re 0.0000 0.0000 0.0000
Mn -1.9458 -1.1524 2.1781
```

Computed properties:
Its energy is -8.318 eV/atom. The energy of formation from the pure elements comes out at 0.790 eV/atom. For the density of states at the Fermi level, the calculation gives 0.85 states/eV per atom. Its polymorph energy (0 for the lowest one) is 0.347 eV/atom.

***

[2]
This record from Alexandria describes an optimized crystal structure of Mn2TlRe. The functional is PBE.

Cell and atoms, written as extended XYZ:
```
4
Lattice="-0.6922 0.4371 4.8090 -3.7330 -2.7739 1.4720 3.9538 -0.9401 -2.6982" Properties=species:S:1:pos:R:3 pbc="T T T"
Tl 0.5245 -0.8357 2.6256
Mn 0.0000 0.0000 0.0000
Re -2.2126 -1.1684 3.1405
Mn -0.9959 -2.4412 0.9571
```

Computed properties:
Its energy is -7.624 eV/atom. The energy of formation from the pure elements comes out at 0.664 eV/atom. For the density of states at the Fermi level, the calculation gives 1.04 states/eV per atom. Its polymorph energy (0 for the lowest one) is 0.259 eV/atom.